Record 1
A geometry-optimized BiAsO4F structure. Source: Alexandria via LeMat-Bulk, functional PBE.

- Symmetry: C2/m
- Electronic total energy: -0.2040 hartree per atom
- Magnetization: 0.00 μB per cell
- E_form (uncorrected): -1232.2 meV per atom

Lattice parameters (Å, degrees): 5.8085 5.8085 6.8233 103.00 103.00 74.83
Atoms (fractional coordinates):
Bi (0.2123, 0.2123, 0.1346)
Bi (0.7877, 0.7877, 0.8654)
As (0.3525, 0.3525, 0.7105)
As (0.6475, 0.6475, 0.2895)
O (0.1369, 0.4937, 0.8686)
O (0.2238, 0.2238, 0.4756)
O (0.4658, 0.4658, 0.3030)
O (0.4937, 0.1369, 0.8686)
O (0.5063, 0.8631, 0.1314)
O (0.5342, 0.5342, 0.6970)
O (0.7762, 0.7762, 0.5244)
O (0.8631, 0.5063, 0.1314)
F (0.0267, 0.0267, 0.8306)
F (0.9733, 0.9733, 0.1694)



Record 2
A geometry-optimized BiAsO2F structure. Source: Alexandria via LeMat-Bulk, functional PBE.

- Symmetry: P4/mmm
- Electronic total energy: -0.1636 hartree per atom
- Magnetization: 0.00 μB per cell
- E_form (uncorrected): -387.0 meV per atom

Lattice parameters (Å, degrees): 4.4351 4.4351 4.4225 90.00 90.00 90.00
Atoms (fractional coordinates):
Bi (0.0000, 0.0000, 0.0000)
As (0.5000, 0.5000, 0.5000)
O (0.0000, 0.5000, 0.0000)
O (0.5000, 0.0000, 0.0000)
F (0.0000, 0.0000, 0.5000)



Record 3
A geometry-optimized Rb2BiAsF6 structure. Source: Alexandria via LeMat-Bulk, functional PBE.

- Symmetry: I4/mmm
- Electronic total energy: -0.1578 hartree per atom
- Magnetization: 0.00 μB per cell
- E_form (uncorrected): -2125.1 meV per atom

Lattice parameters (Å, degrees): 7.3972 7.3972 7.3972 129.97 129.97 73.45
Atoms (fractional coordinates):
Rb (0.2500, 0.7500, 0.5000)
Rb (0.7500, 0.2500, 0.5000)
Bi (0.0000, 0.0000, 0.0000)
As (0.5000, 0.5000, 0.0000)
F (0.1903, 0.1903, 0.0000)
F (0.2558, 0.2558, 0.5116)
F (0.2558, 0.7442, 0.0000)
F (0.7442, 0.2558, 0.0000)
F (0.7442, 0.7442, 0.4884)
F (0.8097, 0.8097, 0.0000)



Record 4
A geometry-optimized BiAs2SeF structure. Source: Alexandria via LeMat-Bulk, functional PBE.

- Symmetry: P4/mmm
- Electronic total energy: -0.1315 hartree per atom
- Magnetization: 0.00 μB per cell
- E_form (uncorrected): 128.7 meV per atom

Lattice parameters (Å, degrees): 4.3603 4.3603 5.8091 90.00 90.00 90.00
Atoms (fractional coordinates):
Bi (0.0000, 0.0000, 0.0000)
As (0.0000, 0.5000, 0.5000)
As (0.5000, 0.0000, 0.5000)
Se (0.5000, 0.5000, 0.0000)
F (0.5000, 0.5000, 0.5000)



Record 5
A geometry-optimized BiAs2SeF structure. Source: Alexandria via LeMat-Bulk, functional PBE.

- Symmetry: P4/mmm
- Electronic total energy: -0.1063 hartree per atom
- Magnetization: 1.84 μB per cell
- E_form (uncorrected): 814.5 meV per atom

Lattice parameters (Å, degrees): 5.5927 5.5927 5.4439 90.00 90.00 90.00
Atoms (fractional coordinates):
Bi (0.0000, 0.0000, 0.0000)
As (0.0000, 0.5000, 0.0000)
As (0.5000, 0.0000, 0.0000)
Se (0.0000, 0.0000, 0.5000)
F (0.5000, 0.5000, 0.5000)



Record 6
A geometry-optimized BiAsSe2F structure. Source: Alexandria via LeMat-Bulk, functional PBE.

- Symmetry: P4/mmm
- Electronic total energy: -0.1032 hartree per atom
- Magnetization: 0.19 μB per cell
- E_form (uncorrected): 666.3 meV per atom

Lattice parameters (Å, degrees): 5.4981 5.4981 5.6907 90.00 90.00 90.00
Atoms (fractional coordinates):
Bi (0.0000, 0.0000, 0.0000)
As (0.0000, 0.0000, 0.5000)
Se (0.0000, 0.5000, 0.0000)
Se (0.5000, 0.0000, 0.0000)
F (0.5000, 0.5000, 0.5000)



Record 7
A geometry-optimized BiAsSe2F structure. Source: Alexandria via LeMat-Bulk, functional PBE.

- Symmetry: P4/mmm
- Electronic total energy: -0.1248 hartree per atom
- Magnetization: 0.00 μB per cell
- E_form (uncorrected): 77.9 meV per atom

Lattice parameters (Å, degrees): 5.2753 5.2753 3.9847 90.00 90.00 90.00
Atoms (fractional coordinates):
Bi (0.0000, 0.0000, 0.0000)
As (0.5000, 0.5000, 0.0000)
Se (0.0000, 0.5000, 0.5000)
Se (0.5000, 0.0000, 0.5000)
F (0.5000, 0.5000, 0.5000)



Record 8
A geometry-optimized FeBi2As2 structure. Source: Alexandria via LeMat-Bulk, functional PBE.

- Formation energy: 0.144 eV/atom
- Symmetry: P4/mbm
- Electronic total energy: -0.1823 hartree per atom
- Magnetization: 4.41 μB per cell

Lattice parameters (Å, degrees): 6.3316 6.3316 5.9928 90.00 90.00 90.00
Atoms (fractional coordinates):
Fe (0.0000, 0.0000, 0.0000)
Fe (0.5000, 0.5000, 0.0000)
Bi (0.1960, 0.3040, 0.5000)
Bi (0.3040, 0.8040, 0.5000)
Bi (0.6960, 0.1960, 0.5000)
Bi (0.8040, 0.6960, 0.5000)
As (0.1453, 0.3547, 0.0000)
As (0.3547, 0.8547, 0.0000)
As (0.6453, 0.1453, 0.0000)
As (0.8547, 0.6453, 0.0000)